Model w:
{
  "formula": "CaTcAg2",
  "functional": "PBE",
  "state": "relaxed",
  "spacegroup": "F-43m, No. 216",
  "rho_g_cm3": 7.4,
  "lattice": [[0.0000, 3.4078, 3.4078], [3.4078, 0.0000, 3.4078], [3.4078, 3.4078, 0.0000]],
  "species": ["Ca", "Tc", "Ag", "Ag"],
  "frac_coords": [[0.0000, 0.0000, 0.0000], [0.2500, 0.2500, 0.2500], [0.5000, 0.5000, 0.5000], [0.7500, 0.7500, 0.7500]]
}



Model x:
{
  "formula": "CaTcAg2",
  "functional": "PBE",
  "state": "relaxed",
  "spacegroup": "P4mm, No. 99",
  "rho_g_cm3": 7.3,
  "lattice": [[3.4770, 0.0000, 0.0000], [0.0000, 3.4770, 0.0000], [0.0000, 0.0000, 6.6705]],
  "species": ["Ca", "Tc", "Ag", "Ag"],
  "frac_coords": [[0.0000, 0.0000, 0.0000], [0.5000, 0.5000, 0.2758], [0.0000, 0.0000, 0.4898], [0.5000, 0.5000, 0.7131]]
}



Stability summary: most stable model x, least stable model w.



Model w:
{
  "formula": "CaTcAg2",
  "functional": "PBE",
  "state": "relaxed",
  "spacegroup": "R-3m, No. 166",
  "rho_g_cm3": 7.7,
  "lattice": [[1.4874, 0.8587, 9.8970], [-1.4874, 0.8587, 9.8970], [0.0000, -1.7175, 9.8970]],
  "species": ["Ca", "Tc", "Ag", "Ag"],
  "frac_coords": [[0.0000, 0.0000, 0.0000], [0.5000, 0.5000, 0.5000], [0.2444, 0.2444, 0.2444], [0.7556, 0.7556, 0.7556]]
}



Model x:
{
  "formula": "CaTcAg2",
  "functional": "PBE",
  "state": "relaxed",
  "spacegroup": "Cmmm, No. 65",
  "rho_g_cm3": 7.9,
  "lattice": [[2.9856, -4.3654, 0.0000], [2.9856, 4.3654, 0.0000], [0.0000, 0.0000, 2.8545]],
  "species": ["Ca", "Tc", "Ag", "Ag"],
  "frac_coords": [[0.0000, 0.0000, 0.0000], [0.5000, 0.5000, 0.0000], [0.0000, 0.5000, 0.5000], [0.5000, 0.0000, 0.5000]]
}



Model y:
{
  "formula": "CaTcAg2",
  "functional": "PBE",
  "state": "relaxed",
  "spacegroup": "P4/mmm, No. 123",
  "rho_g_cm3": 7.2,
  "lattice": [[3.4388, 0.0000, 0.0000], [0.0000, 3.4388, 0.0000], [0.0000, 0.0000, 6.9009]],
  "species": ["Ca", "Tc", "Ag", "Ag"],
  "frac_coords": [[0.0000, 0.0000, 0.0000], [0.0000, 0.0000, 0.5000], [0.5000, 0.5000, 0.2862], [0.5000, 0.5000, 0.7138]]
}



Model z:
{
  "formula": "CaTcAg2",
  "functional": "PBE",
  "state": "relaxed",
  "spacegroup": "Pmmm, No. 47",
  "rho_g_cm3": 7.7,
  "lattice": [[2.8491, 0.0000, 0.0000], [0.0000, 4.3158, 0.0000], [0.0000, 0.0000, 6.2397]],
  "species": ["Ca", "Tc", "Ag", "Ag"],
  "frac_coords": [[0.0000, 0.0000, 0.0000], [0.0000, 0.0000, 0.5000], [0.5000, 0.5000, 0.2800], [0.5000, 0.5000, 0.7200]]
}



Stability summary: most stable model x, least stable model w.



Model w:
{
  "formula": "CaTcAg2",
  "functional": "PBE",
  "state": "relaxed",
  "spacegroup": "Fm-3m, No. 225",
  "rho_g_cm3": 7.2,
  "lattice": [[0.0000, 3.4350, 3.4350], [3.4350, 0.0000, 3.4350], [3.4350, 3.4350, 0.0000]],
  "species": ["Ca", "Tc", "Ag", "Ag"],
  "frac_coords": [[0.0000, 0.0000, 0.0000], [0.5000, 0.5000, 0.5000], [0.2500, 0.2500, 0.2500], [0.7500, 0.7500, 0.7500]]
}



Model x:
{
  "formula": "CaTcAg2",
  "functional": "PBE",
  "state": "relaxed",
  "spacegroup": "Cmm2, No. 35",
  "rho_g_cm3": 7.8,
  "lattice": [[2.0196, -2.0343, 0.0000], [2.0196, 2.0343, 0.0000], [0.0000, 0.0000, 9.1677]],
  "species": ["Ca", "Tc", "Ag", "Ag"],
  "frac_coords": [[0.0000, 0.0000, 0.0000], [0.5000, 0.5000, 0.7431], [0.0000, 0.0000, 0.5159], [0.5000, 0.5000, 0.2758]]
}



Stability summary: most stable model x, least stable model w.



Model w:
{
  "formula": "CaTcAg2",
  "functional": "PBE",
  "state": "relaxed",
  "spacegroup": "I-4m2, No. 119",
  "rho_g_cm3": 7.4,
  "lattice": [[-2.1227, 2.1227, 4.4007], [2.1227, -2.1227, 4.4007], [2.1227, 2.1227, -4.4007]],
  "species": ["Ca", "Tc", "Ag", "Ag"],
  "frac_coords": [[0.0000, 0.0000, 0.0000], [0.2500, 0.7500, 0.5000], [0.5000, 0.5000, 0.0000], [0.7500, 0.2500, 0.5000]]
}



Model x:
{
  "formula": "CaTcAg2",
  "functional": "PBE",
  "state": "relaxed",
  "spacegroup": "C2/m, No. 12",
  "rho_g_cm3": 7.7,
  "lattice": [[5.1048, -1.4058, 0.0000], [5.1048, 1.4058, 0.0000], [-0.7769, 0.0000, 5.3256]],
  "species": ["Ca", "Tc", "Ag", "Ag"],
  "frac_coords": [[0.0000, 0.0000, 0.0000], [0.5000, 0.5000, 0.5000], [0.2383, 0.2383, 0.7275], [0.7617, 0.7617, 0.2725]]
}



Model y:
{
  "formula": "CaTcAg2",
  "functional": "PBE",
  "state": "relaxed",
  "spacegroup": "Pmm2, No. 25",
  "rho_g_cm3": 7.8,
  "lattice": [[2.9924, 0.0000, 0.0000], [0.0000, 4.8728, 0.0000], [0.0000, 0.0000, 5.1609]],
  "species": ["Ca", "Tc", "Ag", "Ag"],
  "frac_coords": [[0.0000, 0.0000, 0.0000], [0.0000, 0.5000, 0.6242], [0.5000, 0.0000, 0.5096], [0.5000, 0.5000, 0.1524]]
}



Model z:
{
  "formula": "CaTcAg2",
  "functional": "PBE",
  "state": "relaxed",
  "spacegroup": "I-42d, No. 122",
  "rho_g_cm3": 6.7,
  "lattice": [[-2.0814, 2.0814, 10.0618], [2.0814, -2.0814, 10.0618], [2.0814, 2.0814, -10.0618]],
  "species": ["Ca", "Ca", "Tc", "Tc", "Ag", "Ag", "Ag", "Ag"],
  "frac_coords": [[0.0000, 0.0000, 0.0000], [0.7500, 0.2500, 0.5000], [0.2500, 0.7500, 0.5000], [0.5000, 0.5000, 0.0000], [0.1473, 0.6250, 0.0223], [0.3750, 0.3973, 0.5223], [0.6027, 0.1250, 0.9777], [0.8750, 0.8527, 0.4777]]
}



Stability summary: most stable model y, least stable model z.



Model w:
{
  "formula": "CaTcAg2",
  "functional": "PBE",
  "state": "relaxed",
  "spacegroup": "P4/mmm, No. 123",
  "rho_g_cm3": 7.5,
  "lattice": [[4.3794, 0.0000, 0.0000], [0.0000, 4.3794, 0.0000], [0.0000, 0.0000, 4.1054]],
  "species": ["Ca", "Tc", "Ag", "Ag"],
  "frac_coords": [[0.0000, 0.0000, 0.0000], [0.5000, 0.5000, 0.0000], [0.0000, 0.5000, 0.5000], [0.5000, 0.0000, 0.5000]]
}



Model x:
{
  "formula": "CaTcAg2",
  "functional": "PBE",
  "state": "relaxed",
  "spacegroup": "Immm, No. 71",
  "rho_g_cm3": 7.5,
  "lattice": [[-1.4505, 2.5343, 5.3570], [1.4505, -2.5343, 5.3570], [1.4505, 2.5343, -5.3570]],
  "species": ["Ca", "Tc", "Ag", "Ag"],
  "frac_coords": [[0.0000, 0.0000, 0.0000], [0.5000, 0.5000, 0.0000], [0.2749, 0.7749, 0.5000], [0.7251, 0.2251, 0.5000]]
}



Stability summary: most stable model w, least stable model x.



Model w:
{
  "formula": "CaTc2Ag",
  "functional": "PBE",
  "state": "relaxed",
  "spacegroup": "I-42d, No. 122",
  "rho_g_cm3": 7.1,
  "lattice": [[-3.9845, 3.9845, 2.5257], [3.9845, -3.9845, 2.5257], [3.9845, 3.9845, -2.5257]],
  "species": ["Ca", "Ca", "Tc", "Tc", "Tc", "Tc", "Ag", "Ag"],
  "frac_coords": [[0.0000, 0.0000, 0.0000], [0.7500, 0.2500, 0.5000], [0.1596, 0.6250, 0.0346], [0.3750, 0.4096, 0.5346], [0.5904, 0.1250, 0.9654], [0.8750, 0.8404, 0.4654], [0.2500, 0.7500, 0.5000], [0.5000, 0.5000, 0.0000]]
}



Model x:
{
  "formula": "CaTc2Ag",
  "functional": "PBE",
  "state": "relaxed",
  "spacegroup": "R3m, No. 160",
  "rho_g_cm3": 8.0,
  "lattice": [[1.4598, 0.8428, 9.6640], [-1.4598, 0.8428, 9.6640], [0.0000, -1.6857, 9.6640]],
  "species": ["Ca", "Tc", "Tc", "Ag"],
  "frac_coords": [[0.0000, 0.0000, 0.0000], [0.4904, 0.4904, 0.4904], [0.7554, 0.7554, 0.7554], [0.2419, 0.2419, 0.2419]]
}



Stability summary: most stable model x, least stable model w.



Model w:
{
  "formula": "CaTc2Ag",
  "functional": "PBE",
  "state": "relaxed",
  "spacegroup": "P4/mmm, No. 123",
  "rho_g_cm3": 7.0,
  "lattice": [[3.5351, 0.0000, 0.0000], [0.0000, 3.5351, 0.0000], [0.0000, 0.0000, 6.5294]],
  "species": ["Ca", "Tc", "Tc", "Ag"],
  "frac_coords": [[0.0000, 0.0000, 0.0000], [0.5000, 0.5000, 0.3266], [0.5000, 0.5000, 0.6734], [0.0000, 0.0000, 0.5000]]
}



Model x:
{
  "formula": "CaTc2Ag",
  "functional": "PBE",
  "state": "relaxed",
  "spacegroup": "Fm-3m, No. 225",
  "rho_g_cm3": 7.8,
  "lattice": [[0.0000, 3.3231, 3.3231], [3.3231, 0.0000, 3.3231], [3.3231, 3.3231, 0.0000]],
  "species": ["Ca", "Tc", "Tc", "Ag"],
  "frac_coords": [[0.0000, 0.0000, 0.0000], [0.2500, 0.2500, 0.2500], [0.7500, 0.7500, 0.7500], [0.5000, 0.5000, 0.5000]]
}



Stability summary: most stable model w, least stable model x.



Model w:
{
  "formula": "CaTc2Ag",
  "functional": "PBE",
  "state": "relaxed",
  "spacegroup": "Cm, No. 8",
  "rho_g_cm3": 7.2,
  "lattice": [[4.2815, -1.5574, 0.0000], [4.2815, 1.5574, 0.0000], [-0.9822, 0.0000, 5.9569]],
  "species": ["Ca", "Tc", "Tc", "Ag"],
  "frac_coords": [[0.0000, 0.0000, 0.0000], [0.2272, 0.2272, 0.6658], [0.5085, 0.5085, 0.5507], [0.7632, 0.7632, 0.2830]]
}



Model x:
{
  "formula": "CaTc2Ag",
  "functional": "PBE",
  "state": "relaxed",
  "spacegroup": "Pmmm, No. 47",
  "rho_g_cm3": 8.0,
  "lattice": [[2.6297, 0.0000, 0.0000], [0.0000, 4.9549, 0.0000], [0.0000, 0.0000, 5.4658]],
  "species": ["Ca", "Tc", "Tc", "Ag"],
  "frac_coords": [[0.0000, 0.0000, 0.0000], [0.5000, 0.5000, 0.2399], [0.5000, 0.5000, 0.7601], [0.0000, 0.0000, 0.5000]]
}



Model y:
{
  "formula": "CaTc2Ag",
  "functional": "PBE",
  "state": "relaxed",
  "spacegroup": "P4mm, No. 99",
  "rho_g_cm3": 7.5,
  "lattice": [[3.1199, 0.0000, 0.0000], [0.0000, 3.1199, 0.0000], [0.0000, 0.0000, 7.7718]],
  "species": ["Ca", "Tc", "Tc", "Ag"],
  "frac_coords": [[0.0000, 0.0000, 0.0000], [0.0000, 0.0000, 0.4514], [0.5000, 0.5000, 0.2884], [0.5000, 0.5000, 0.7026]]
}



Stability summary: most stable model y, least stable model x.